The following is a GGA-PBE calculation of a relaxed BaNi2Se crystal, from Alexandria.

```
4
Lattice="4.4412 0.0000 0.0000 0.0000 4.2829 0.0000 -0.5278 0.0000 4.8240" Properties=species:S:1:pos:R:3 pbc="T T T"
Ba 0.0000 0.0000 0.0000
Ni 0.5742 2.1415 2.6496
Ni 1.8852 0.0000 2.4548
Se 2.7945 2.1415 2.1292
```

Values from the calculation:
* raw formation energy: -438 meV/atom
* symmetry: No. 6
* final energy: -4.6801 eV/atom
* D(E_F): 0.288 states/eV per atom
* crystal system: monoclinic